1.
Compound: SrAg2As
Source: Alexandria
Functional: PBE
Structure: optimized geometry

a b c (Å): 4.7006 4.7006 15.6190
angles (deg): 90.00 90.00 120.00
Closest atoms and distances in Å follow each position.
Space group R-3m (No. 166, hexagonal axes)
One atom of each set of equivalent atoms:
1 Sr 0.0000 0.0000 0.0000 (multiplicity 3)  8 Ag 3.29-3.32
2 Ag 0.0000 0.0000 0.2106 (multiplicity 6)  3 As 2.80, 3 Ag 3.04
3 As 0.0000 0.0000 0.5000 (multiplicity 3)  6 Ag 2.80

Summary:
ΔH_f (0 K) = -0.2420 eV per atom
Calculated density = 6.3 g/cm3

2.
Compound: SrAg2As
Source: Alexandria
Functional: PBE
Structure: optimized geometry

a b c (Å): 4.9009 4.9009 18.5836
angles (deg): 90.00 90.00 90.00
Closest atoms and distances in Å follow each position.
Space group I-42d (No. 122)
One atom of each set of equivalent atoms:
1 Sr 0.0000 0.0000 0.0000 (multiplicity 4)  4 Ag 3.24, 4 As 3.47
2 Ag 0.1121 0.2500 0.6250 (multiplicity 8)  2 As 2.68, 2 Ag 2.69
3 As 0.0000 0.0000 0.5000 (multiplicity 4)  4 Ag 2.68

Summary:
ΔH_f (0 K) = -0.2218 eV per atom
Calculated density = 5.6 g/cm3

3.
Compound: SrAg2As
Source: Alexandria
Functional: PBE
Structure: optimized geometry

a b c (Å): 4.4026 4.4026 4.8200
angles (deg): 90.00 90.00 90.00
Closest atoms and distances in Å follow each position.
Space group P4/mmm (No. 123)
One atom of each set of equivalent atoms:
1 Sr 0.0000 0.0000 0.0000 (multiplicity 1)  4 As 3.11, 8 Ag 3.26
2 Ag 0.0000 0.5000 0.5000 (multiplicity 2)  4 Ag 3.11, 4 As 3.26, 4 Sr 3.26
3 As 0.5000 0.5000 0.0000 (multiplicity 1)  4 Sr 3.11, 8 Ag 3.26

Summary:
ΔH_f (0 K) = -0.2191 eV per atom
Calculated density = 6.7 g/cm3

4.
Compound: SrAgAs
Source: Alexandria
Functional: PBE
Structure: optimized geometry

a b c (Å): 6.2988 6.2990 8.5147
angles (deg): 90.00 111.69 90.00
Closest atoms and distances in Å follow each position.
Space group Cc (No. 9)
One atom of each set of equivalent atoms:
1 Sr 0.0000 0.1252 0.0000 (multiplicity 4)  6 As 3.40-3.48, 6 Ag 3.42-3.44
2 Ag 0.0840 0.3750 0.6683 (multiplicity 4)  3 As 2.60-2.62
3 As 0.4195 0.1259 0.8375 (multiplicity 4)  3 Ag 2.60-2.62

Summary:
ΔH_f (0 K) = -0.7270 eV per atom
Calculated density = 5.7 g/cm3

5.
Compound: SrAgAs2
Source: Alexandria
Functional: PBE
Structure: optimized geometry

a b c (Å): 3.7375 3.7375 6.8918
angles (deg): 90.00 90.00 90.00
Closest atoms and distances in Å follow each position.
Space group P4mm (No. 99)
One atom of each set of equivalent atoms:
1 Sr 0.0000 0.0000 0.0000 (multiplicity 1)  5 As 3.18-3.42, 4 Ag 3.33
2 Ag 0.5000 0.5000 0.2940 (multiplicity 1)  1 As 2.69
3 As 0.0000 0.0000 0.5381 (multiplicity 1)  4 As 2.83, 4 Ag 3.13
4 As 0.5000 0.5000 0.6847 (multiplicity 1)  1 Ag 2.69, 4 As 2.83

Summary:
ΔH_f (0 K) = -0.1540 eV per atom
Calculated density = 6.0 g/cm3

6.
Compound: SrAgAs
Source: Alexandria
Functional: PBE
Structure: optimized geometry

a b c (Å): 4.4903 4.4903 7.4522
angles (deg): 90.00 90.00 90.00
Closest atoms and distances in Å follow each position.
Space group P4/nmm (No. 129, origin choice 2)
One atom of each set of equivalent atoms:
1 Sr 0.2500 0.2500 0.1771 (multiplicity 2)  5 As 3.24-3.27, 4 Ag 3.29
2 Ag 0.2500 0.7500 0.5000 (multiplicity 2)  4 As 2.86, 4 Ag 3.18
3 As 0.2500 0.2500 0.7385 (multiplicity 2)  4 Ag 2.86

Summary:
ΔH_f (0 K) = -0.7144 eV per atom
Calculated density = 6.0 g/cm3

7.
Compound: SrAgAs2
Source: Alexandria
Functional: PBE
Structure: optimized geometry

a b c (Å): 3.8981 3.9111 6.3209
angles (deg): 90.00 90.00 90.00
Closest atoms and distances in Å follow each position.
Space group Pmmm (No. 47)
One atom of each set of equivalent atoms:
1 Sr 0.0000 0.0000 0.0000 (multiplicity 1)  2 Ag 3.16, 8 As 3.37
2 Ag 0.0000 0.0000 0.5000 (multiplicity 1)  8 As 3.03, 2 Sr 3.16
3 As 0.5000 0.5000 0.3043 (multiplicity 2)  1 As 2.47

Summary:
ΔH_f (0 K) = -0.2375 eV per atom
Calculated density = 6.0 g/cm3

8.
Compound: SrAgAs2
Source: Alexandria
Functional: PBE
Structure: optimized geometry

a b c (Å): 4.7157 4.7157 15.6405
angles (deg): 90.00 90.00 120.00
Closest atoms and distances in Å follow each position.
Space group R-3m (No. 166, hexagonal axes)
One atom of each set of equivalent atoms:
1 Sr 0.0000 0.0000 0.0000 (multiplicity 3)  8 As 3.19-3.39
2 Ag 0.0000 0.0000 0.5000 (multiplicity 3)  6 As 2.78
3 As 0.0000 0.0000 0.2040 (multiplicity 6)  3 Ag 2.78, 3 As 2.96

Summary:
ΔH_f (0 K) = -0.3610 eV per atom
Calculated density = 5.7 g/cm3